[1]
Computed, not measured: a geometry-optimized TlCdCoCl5 structure at the PBE level of DFT.

Geometry as POSCAR:
```
TlCdCoCl5
1.0
-7.390 -0.271 -0.736
2.136 -6.794 2.122
1.293 5.264 7.705
Tl Cd Co Cl
2 2 2 10
Direct
0.347 0.653 0.250 Tl
0.653 0.347 0.750 Tl
0.000 0.000 0.500 Cd
0.000 0.000 0.000 Cd
0.686 0.314 0.250 Co
0.314 0.686 0.750 Co
0.082 0.918 0.250 Cl
0.918 0.082 0.750 Cl
0.905 0.319 0.118 Cl
0.095 0.681 0.882 Cl
0.681 0.095 0.382 Cl
0.319 0.905 0.618 Cl
0.756 0.607 0.432 Cl
0.244 0.393 0.568 Cl
0.393 0.244 0.068 Cl
0.607 0.756 0.932 Cl
```

Computed properties:
- calculated volume (Å³ per cell) = 458
- SG = C2/c, No. 15
- uncorrected energy (eV/atom) = -3.321
- total moment (μB per formula unit) = 3.00
- formation energy from raw total energies (eV per atom) = -0.8680

***

[2]
Computed, not measured: a geometry-optimized Th2GaRh structure at the PBE level of DFT.

Geometry as POSCAR:
```
Th2GaRh
1.0
-2.650 3.039 -0.361
-4.482 -3.706 1.698
3.703 4.036 6.780
Th Ga Rh
4 2 2
Direct
0.750 0.221 0.442 Th
0.250 0.779 0.558 Th
0.250 0.785 0.092 Th
0.750 0.215 0.908 Th
0.250 0.344 0.205 Ga
0.750 0.656 0.795 Ga
0.750 0.684 0.301 Rh
0.250 0.316 0.699 Rh
```

Computed properties:
- calculated volume (Å³ per cell) = 198
- D(E_F) (states/eV/atom) = 1.263
- SG = P2_1/m, No. 11
- uncorrected energy (eV/atom) = -6.978
- total moment (μB per formula unit) = 0.00

***

[3]
Computed, not measured: a geometry-optimized AlInAs structure at the PBE level of DFT.

Geometry as POSCAR:
```
AlInAs
1.0
-2.674 -0.262 2.870
0.629 -3.061 -2.387
23.808 -11.580 21.124
As Al In
6 6 6
Direct
0.000 0.000 0.396 As
0.333 0.667 0.062 As
0.667 0.333 0.729 As
0.000 0.000 0.253 As
0.333 0.667 0.920 As
0.667 0.333 0.587 As
0.000 0.000 0.953 Al
0.333 0.667 0.619 Al
0.667 0.333 0.286 Al
0.000 0.000 0.029 Al
0.333 0.667 0.696 Al
0.667 0.333 0.363 Al
0.000 0.000 0.123 In
0.333 0.667 0.790 In
0.667 0.333 0.457 In
0.000 0.000 0.859 In
0.333 0.667 0.526 In
0.667 0.333 0.193 In
```

Computed properties:
- calculated volume (Å³ per cell) = 453
- D(E_F) (states/eV/atom) = 0.263
- SG = R3m, No. 160
- uncorrected energy (eV/atom) = -3.808
- total moment (μB per formula unit) = 0.00

***

[4]
Computed, not measured: a geometry-optimized ErPuNp2Sb4 structure at the PBE level of DFT.

Geometry as POSCAR:
```
ErPuNp2Sb4
1.0
4.381 0.000 0.000
0.000 7.578 0.126
0.000 -2.647 7.172
Er Pu Np Sb
1 1 2 4
Direct
0.500 0.500 0.000 Er
0.000 0.000 0.000 Pu
0.500 0.000 0.500 Np
0.000 0.500 0.500 Np
0.500 0.252 0.250 Sb
0.500 0.748 0.750 Sb
0.000 0.252 0.751 Sb
0.000 0.748 0.249 Sb
```

Computed properties:
- calculated volume (Å³ per cell) = 240
- D(E_F) (states/eV/atom) = 4.103
- SG = P2/m, No. 10
- uncorrected energy (eV/atom) = -8.174
- total moment (μB per formula unit) = 12.93
- formation energy from raw total energies (eV per atom) = -0.5158

***

[5]
Computed, not measured: a geometry-optimized LaPuO4 structure at the PBE level of DFT.

Geometry as POSCAR:
```
LaPuO4
1.0
-4.049 1.481 3.658
-3.878 -2.240 -3.385
0.964 -5.090 2.264
La Pu O
2 2 8
Direct
0.000 0.000 0.000 La
0.500 0.500 0.000 La
0.500 0.000 0.500 Pu
0.000 0.500 0.500 Pu
0.853 0.681 0.215 O
0.647 0.181 0.785 O
0.255 0.286 0.310 O
0.245 0.786 0.690 O
0.147 0.319 0.785 O
0.353 0.819 0.215 O
0.745 0.714 0.690 O
0.755 0.214 0.310 O
```

Computed properties:
- calculated volume (Å³ per cell) = 179
- D(E_F) (states/eV/atom) = 0.838
- SG = P2_1/c, No. 14
- uncorrected energy (eV/atom) = -9.643
- total moment (μB per formula unit) = 3.00
- formation energy from raw total energies (eV per atom) = -3.1275

***

[6]
Computed, not measured: a geometry-optimized Rb2Te structure at the PBE level of DFT.

Geometry as POSCAR:
```
Rb2Te
1.0
5.543 0.000 0.000
0.000 5.543 0.000
0.000 0.000 9.475
Rb Te
4 2
Direct
0.000 0.000 0.000 Rb
0.500 0.500 0.000 Rb
0.000 0.500 0.629 Rb
0.500 0.000 0.371 Rb
0.000 0.500 0.247 Te
0.500 0.000 0.753 Te
```

Computed properties:
- calculated volume (Å³ per cell) = 291
- D(E_F) (states/eV/atom) = 0.000
- SG = P4/nmm, No. 129
- uncorrected energy (eV/atom) = -2.644
- total moment (μB per formula unit) = 0.00
- formation energy from raw total energies (eV per atom) = -0.9519

***

[7]
Computed, not measured: a geometry-optimized NdMg6In6 structure at the PBE level of DFT.

Geometry as POSCAR:
```
NdMg6In6
1.0
6.158 -0.002 0.000
-3.080 5.332 0.000
0.000 0.000 9.726
Nd Mg In
1 6 6
Direct
0.000 0.000 0.000 Nd
0.000 0.500 0.756 Mg
0.500 0.000 0.756 Mg
0.500 0.500 0.756 Mg
0.500 0.000 0.244 Mg
0.000 0.500 0.244 Mg
0.500 0.500 0.244 Mg
0.000 0.000 0.653 In
0.000 0.000 0.347 In
0.333 0.667 0.000 In
0.667 0.333 0.000 In
0.333 0.667 0.500 In
0.667 0.333 0.500 In
```

Computed properties:
- calculated volume (Å³ per cell) = 319
- D(E_F) (states/eV/atom) = 0.563
- SG = P6/mmm, No. 191
- uncorrected energy (eV/atom) = -2.519
- total moment (μB per formula unit) = 0.00

***

[8]
Computed, not measured: a geometry-optimized ReOsCl2 structure at the PBE level of DFT.

Geometry as POSCAR:
```
ReOsCl2
1.0
2.792 0.000 0.000
0.000 5.190 0.000
0.000 0.000 4.344
Re Os Cl
1 1 2
Direct
0.000 0.500 0.500 Re
0.500 0.000 0.500 Os
0.000 0.000 0.000 Cl
0.500 0.500 0.000 Cl
```

Computed properties:
- calculated volume (Å³ per cell) = 63
- D(E_F) (states/eV/atom) = 0.993
- SG = Pmmm, No. 47
- uncorrected energy (eV/atom) = -5.661
- total moment (μB per formula unit) = 0.96
- formation energy from raw total energies (eV per atom) = 1.1819

***

[9]
Computed, not measured: a geometry-optimized TaBe2W structure at the PBE level of DFT.

Geometry as POSCAR:
```
TaBe2W
1.0
3.333 0.000 0.000
0.000 3.291 0.002
0.000 1.644 4.501
Be W Ta
2 1 1
Direct
0.000 0.194 0.988 Be
0.500 0.060 0.254 Be
0.500 0.776 0.826 W
0.000 0.470 0.432 Ta
```

Computed properties:
- calculated volume (Å³ per cell) = 49
- D(E_F) (states/eV/atom) = 0.502
- SG = Pm, No. 6
- uncorrected energy (eV/atom) = -8.289
- total moment (μB per formula unit) = 0.00

***

[10]
Computed, not measured: a geometry-optimized CaZn structure at the PBE level of DFT.

Geometry as POSCAR:
```
CaZn
1.0
8.439 0.000 0.000
0.000 8.439 0.000
0.000 0.000 8.439
Ca Zn
6 6
Direct
0.250 0.000 0.500 Ca
0.750 0.000 0.500 Ca
0.000 0.500 0.250 Ca
0.000 0.500 0.750 Ca
0.500 0.250 0.000 Ca
0.500 0.750 0.000 Ca
0.250 0.500 0.000 Zn
0.750 0.500 0.000 Zn
0.500 0.000 0.250 Zn
0.500 0.000 0.750 Zn
0.000 0.250 0.500 Zn
0.000 0.750 0.500 Zn
```

Computed properties:
- calculated volume (Å³ per cell) = 601
- D(E_F) (states/eV/atom) = 1.012
- SG = Pm-3n, No. 223
- uncorrected energy (eV/atom) = -1.119
- total moment (μB per formula unit) = 0.00

***

[11]
Computed, not measured: a geometry-optimized Ca4CeY3Se8 structure at the PBE level of DFT.

Geometry as POSCAR:
```
Ca4CeY3Se8
1.0
8.261 0.000 0.000
0.000 8.376 0.076
-4.130 -4.126 5.845
Ca Ce Y Se
4 1 3 8
Direct
0.500 0.000 0.000 Ca
0.500 0.000 0.500 Ca
0.000 0.000 0.000 Ca
0.000 0.000 0.500 Ca
0.000 0.500 0.000 Ce
0.500 0.500 0.000 Y
0.500 0.500 0.500 Y
0.000 0.500 0.500 Y
0.253 0.750 0.997 Se
0.253 0.750 0.505 Se
0.252 0.255 0.503 Se
0.745 0.750 0.997 Se
0.255 0.250 0.003 Se
0.748 0.745 0.497 Se
0.747 0.250 0.495 Se
0.747 0.250 0.003 Se
```

Computed properties:
- calculated volume (Å³ per cell) = 407
- D(E_F) (states/eV/atom) = 0.621
- SG = R-3m, No. 166
- uncorrected energy (eV/atom) = -5.702
- total moment (μB per formula unit) = 1.52
- formation energy from raw total energies (eV per atom) = -1.8767

***

[12]
Computed, not measured: a geometry-optimized AlMoP structure at the PBE level of DFT.

Geometry as POSCAR:
```
AlMoP
1.0
6.447 0.011 -0.008
5.588 2.733 -0.012
0.860 -0.789 2.605
P Mo Al
1 1 1
Direct
0.327 0.327 0.673 P
0.675 0.675 0.325 Mo
0.998 0.998 0.002 Al
```

Computed properties:
- calculated volume (Å³ per cell) = 46
- D(E_F) (states/eV/atom) = 0.540
- SG = Fmm2, No. 42
- uncorrected energy (eV/atom) = -6.583
- total moment (μB per formula unit) = 0.00